1.
Entry from the Alexandria database: a relaxed LiNi2Rh crystal (PBEsol).

Cell: 4.3859 4.3859 2.5242 Å, 90.00 90.00 111.03°
Last column: nearest neighbours and their distance in Å.
Sites, in units of the cell vectors:
Li (0.0000, 0.0000, 0.0000)  2 Rh 2.48, 2 Li 2.52, 8 Ni 2.53
Ni (0.0000, 0.5000, 0.5000)  4 Ni 2.48-2.52, 4 Rh 2.53, 4 Li 2.53
Ni (0.5000, 0.0000, 0.5000)  4 Ni 2.48-2.52, 4 Rh 2.53, 4 Li 2.53
Rh (0.5000, 0.5000, 0.0000)  2 Li 2.48, 2 Rh 2.52, 8 Ni 2.53

## Properties
DFT total energy   -5.6567 eV per atom
Magnetic moment   0.01 μB per formula unit
E_form   -0.05 eV/atom

---

2.
Entry from the Alexandria database: a relaxed ZnCuMo crystal (PBEsol).

Cell: 2.6618 2.6618 6.6181 Å, 90.00 90.00 120.00°
Last column: nearest neighbours and their distance in Å.
Sites, in units of the cell vectors:
Zn (0.0000, 0.0000, 0.0000)  3 Cu 2.58, 6 Zn 2.66, 3 Mo 2.79
Cu (0.3333, 0.6667, 0.6871)  3 Zn 2.58, 6 Cu 2.66, 3 Mo 2.69
Mo (0.6667, 0.3333, 0.3527)  6 Mo 2.66, 3 Cu 2.69, 3 Zn 2.79

## Properties
DFT total energy   -5.7135 eV per atom
ΔE to the lowest computed polymorph   0.0000 eV per atom
Magnetic moment   0.00 μB per formula unit
E_form   0.18 eV/atom

---

3.
Entry from the Alexandria database: a relaxed Li2Mn3NbO8 crystal (PBEsol).

Cell: 5.9736 5.9736 5.8196 Å, 118.14 118.14 57.37°
Last column: nearest neighbours and their distance in Å.
Sites, in units of the cell vectors:
Li (0.1373, 0.1373, 0.3833)  4 O 1.94-2.10
Li (0.8627, 0.8627, 0.6167)  4 O 1.94-2.10
Mn (0.0000, 0.5000, 0.0000)  4 O 1.93-1.94
Mn (0.5000, 0.0000, 0.0000)  4 O 1.93-1.94
Mn (0.5000, 0.5000, 0.0000)  6 O 1.92-1.96
Nb (0.5000, 0.5000, 0.5000)  6 O 1.99-2.08
O (0.2660, 0.2660, 0.2373)  2 Mn 1.93, 1 Li 1.94, 1 Nb 2.08
O (0.2672, 0.7242, 0.7540)  1 Mn 1.92, 1 Li 1.95, 1 Nb 1.99
O (0.2758, 0.7328, 0.2460)  1 Mn 1.92, 1 Li 1.95, 1 Nb 1.99
O (0.2792, 0.2792, 0.8093)  3 Mn 1.94-1.96, 1 Li 2.10
O (0.7208, 0.7208, 0.1907)  3 Mn 1.94-1.96, 1 Li 2.10
O (0.7242, 0.2672, 0.7540)  1 Mn 1.92, 1 Li 1.95, 1 Nb 1.99
O (0.7328, 0.2758, 0.2460)  1 Mn 1.92, 1 Li 1.95, 1 Nb 1.99
O (0.7340, 0.7340, 0.7627)  2 Mn 1.93, 1 Li 1.94, 1 Nb 2.08

## Properties
DFT total energy   -8.0706 eV per atom
ΔE to the lowest computed polymorph   0.0412 eV per atom
Formation energy without anion corrections   -2601 kJ/mol of formula units
Magnetic moment   10.13 μB per formula unit